Material: Tb2PmGa
Method: DFT, GGA-PBE
State: optimized geometry

Lattice parameters (Å, degrees): 10.5130 10.5130 10.5130 19.94 19.94 19.94
Last column: nearest neighbours and their distance in Å.
Atoms (fractional coordinates):
Tb: 0.0000 0.0000 0.0000  3 Ga 3.01
Tb: 0.1933 0.1933 0.1933  3 Ga 3.02
Pm: 0.7630 0.7630 0.7630  6 Pm 3.64, 6 Tb 3.64-3.66
Ga: 0.5971 0.5971 0.5971  6 Tb 3.01-3.02

Results
DFT total energy in eV/atom: -4.45
Symmetry: No. 160